CrRh PBE-GGA optimized geometry; formation energy = -0.04 eV/atom; total energy = -8.527 eV/atom
1.0
4.9990 0.0033 0.0050
4.2935 2.5606 0.0050
-7.7807 -2.1468 6.0674
Cr Rh
3 3
Direct
0.0030 0.0030 0.0010 Cr
0.1205 0.1205 0.7275 Cr
0.6572 0.6572 0.3284 Cr
0.3357 0.3357 0.6627 Rh
0.4344 0.4344 0.3923 Rh
0.7826 0.7826 0.0547 Rh